Arrangement A

A plane-wave DFT calculation with PBE was carried out for a relaxed Tb12Dy7Zr crystal.

Geometry as POSCAR:
```
Tb12Dy7Zr
1.0
8.473 0.966 1.450
-1.428 8.408 1.450
-1.428 -1.900 8.317
Tb Dy Zr
12 7 1
direct
0.784 0.239 0.638
0.761 0.362 0.216
0.444 0.126 0.372
0.874 0.628 0.556
0.362 0.216 0.761
0.628 0.556 0.874
0.372 0.444 0.126
0.638 0.784 0.239
0.126 0.372 0.444
0.556 0.874 0.628
0.239 0.638 0.784
0.216 0.761 0.362
0.961 0.668 0.056
0.332 0.944 0.039
0.944 0.039 0.332
0.500 0.500 0.500
0.056 0.961 0.668
0.668 0.056 0.961
0.039 0.332 0.944
0.000 0.000 0.000
```

---

Arrangement B

A plane-wave DFT calculation with PBE was carried out for a relaxed Tb12Dy7Zr crystal.

Geometry as POSCAR:
```
Tb12Dy7Zr
1.0
5.941 0.000 -1.223
-3.106 9.676 -5.064
0.272 0.000 11.352
Tb Dy Zr
12 7 1
direct
0.086 0.585 0.172
0.086 0.172 0.586
0.578 0.646 0.001
0.423 0.001 0.354
0.499 0.414 0.585
0.068 0.646 0.646
0.932 0.354 0.354
0.501 0.586 0.415
0.577 0.999 0.646
0.422 0.354 0.999
0.914 0.828 0.414
0.914 0.415 0.828
0.118 0.758 0.001
0.883 0.001 0.243
0.640 0.757 0.758
0.500 0.000 0.000
0.360 0.243 0.242
0.117 0.999 0.757
0.882 0.242 0.999
0.000 0.000 0.000
```

---

Which structure above is the least stable? It is arrangement A.